Entry 1:
Here is an optimized crystal structure of AcDy2Al6 from Alexandria. Energies are from PBE-GGA.

Calculated values
D(E_F): 4.942 states/eV/f.u.
Total magnetic moment: 0.0000 μB per atom
Energy of formation: -0.3911 eV/atom

abc: 7.979 7.979 3.755
angles: 90.00 90.00 120.00
Fractional coordinates of all 9 atoms:
Ac 0.000 0.000 0.000
Dy 0.333 0.667 0.000
Dy 0.667 0.333 0.000
Al 0.000 0.339 0.500
Al 0.000 0.661 0.500
Al 0.339 0.000 0.500
Al 0.339 0.339 0.500
Al 0.661 0.000 0.500
Al 0.661 0.661 0.500

=====

Entry 2:
Here is an optimized crystal structure of CaTi2VN4 from Alexandria. Energies are from PBE-GGA.

Calculated values
Formation energy (no corrections): -1007.9 kJ/mol of formula units
D(E_F): 3.467 states/eV/f.u.
Total magnetic moment: 0.0000 μB per atom

abc: 5.611 5.611 10.817
angles: 90.00 90.00 148.05
Fractional coordinates of all 16 atoms:
Ca 0.106 0.894 0.750
Ca 0.894 0.106 0.250
Ti 0.371 0.629 0.536
Ti 0.371 0.629 0.964
Ti 0.629 0.371 0.036
Ti 0.629 0.371 0.464
V 0.162 0.838 0.250
V 0.838 0.162 0.750
N 0.000 0.000 0.000
N 0.000 0.000 0.500
N 0.262 0.738 0.113
N 0.262 0.738 0.387
N 0.437 0.563 0.750
N 0.563 0.437 0.250
N 0.738 0.262 0.613
N 0.738 0.262 0.887

=====

Entry 3:
Here is an optimized crystal structure of Ta2InCl from Alexandria. Energies are from PBE-GGA.

Calculated values
Formation energy (no corrections): 165.7 kJ/mol of formula units
D(E_F): 4.098 states/eV/f.u.
Total magnetic moment: 0.0000 μB per atom

abc: 2.974 5.052 5.238
angles: 90.00 90.00 90.00
Fractional coordinates of all 4 atoms:
Ta 0.000 0.000 0.000
Ta 0.500 0.000 0.500
In 0.000 0.500 0.500
Cl 0.500 0.500 0.000

=====

Entry 4:
Here is an optimized crystal structure of Pr6CdRh3 from Alexandria. Energies are from PBE-GGA.

Calculated values
D(E_F): 8.539 states/eV/f.u.
Total magnetic moment: 0.0000 μB per atom
Energy of formation: -0.4467 eV/atom

abc: 8.804 8.804 7.346
angles: 90.00 90.00 98.12
Fractional coordinates of all 20 atoms:
Pr 0.060 0.499 0.347
Pr 0.071 0.929 0.500
Pr 0.210 0.790 0.029
Pr 0.309 0.372 0.965
Pr 0.372 0.309 0.465
Pr 0.499 0.060 0.847
Pr 0.501 0.940 0.347
Pr 0.628 0.691 0.965
Pr 0.691 0.628 0.465
Pr 0.790 0.210 0.529
Pr 0.929 0.071 0.000
Pr 0.940 0.501 0.847
Cd 0.328 0.672 0.640
Cd 0.672 0.328 0.140
Rh 0.086 0.251 0.684
Rh 0.251 0.086 0.184
Rh 0.387 0.613 0.260
Rh 0.613 0.387 0.760
Rh 0.749 0.914 0.684
Rh 0.914 0.749 0.184

=====

Entry 5:
Here is an optimized crystal structure of LaY2Os from Alexandria. Energies are from PBE-GGA.

Calculated values
D(E_F): 5.530 states/eV/f.u.
Total magnetic moment: 0.0000 μB per atom
Energy of formation: 0.2668 eV/atom

abc: 5.682 5.682 5.682
angles: 131.71 131.71 70.68
Fractional coordinates of all 4 atoms:
La 0.000 0.000 0.000
Y 0.500 0.500 0.000
Y 0.750 0.250 0.500
Os 0.250 0.750 0.500

=====

Entry 6:
Here is an optimized crystal structure of As2PtCl from Alexandria. Energies are from PBE-GGA.

Calculated values
Formation energy (no corrections): 4.7 kJ/mol of formula units
D(E_F): 1.948 states/eV/f.u.
Total magnetic moment: 0.0000 μB per atom

abc: 6.991 6.991 6.991
angles: 126.59 126.59 78.93
Fractional coordinates of all 8 atoms:
As 0.063 0.625 0.938
As 0.375 0.313 0.438
As 0.687 0.125 0.062
As 0.875 0.937 0.562
Pt 0.000 0.000 0.000
Pt 0.750 0.250 0.500
Cl 0.250 0.750 0.500
Cl 0.500 0.500 0.000

=====

Entry 7:
Here is an optimized crystal structure of BaIrCl2 from Alexandria. Energies are from PBE-GGA.

Calculated values
Formation energy (no corrections): -122.3 kJ/mol of formula units
D(E_F): 5.304 states/eV/f.u.
Total magnetic moment: 0.7500 μB per atom

abc: 5.271 5.271 5.271
angles: 60.00 60.00 60.00
Fractional coordinates of all 4 atoms:
Ba 0.000 0.000 0.000
Ir 0.500 0.500 0.500
Cl 0.250 0.250 0.250
Cl 0.750 0.750 0.750

=====

> What is the D(E_F) in the fifth record?

5.530 states/eV/f.u.

=====

> What is the formula in the sixth record?

As2PtCl